No. 1
Density functional theory data (PBE) for an optimized crystal structure of CsTh3C4N12. Values from VASP.

Geometry as Quantum ESPRESSO input:
```
&SYSTEM
  ibrav = 0, nat = 20, ntyp = 4
/
ATOMIC_SPECIES
N 14.01 N.upf
C 12.01 C.upf
Th 232.04 Th.upf
Cs 132.91 Cs.upf
ATOMIC_POSITIONS crystal
N 0.035 0.552 0.817
N 0.448 0.965 0.183
N 0.500 0.374 0.626
N 0.965 0.183 0.448
N 0.626 0.500 0.374
N 0.183 0.448 0.965
N 0.374 0.626 0.500
N 0.552 0.817 0.035
N 0.107 0.893 0.500
N 0.817 0.035 0.552
N 0.893 0.500 0.107
N 0.500 0.107 0.893
C 0.500 0.500 0.500
C 0.988 0.012 0.500
C 0.500 0.988 0.012
C 0.012 0.500 0.988
Th 0.465 0.000 0.535
Th 0.535 0.465 0.000
Th 0.000 0.535 0.465
Cs 0.000 0.000 0.000
CELL_PARAMETERS angstrom
6.991 0.150 0.208
-1.539 6.821 0.208
-1.539 -1.968 6.535
```

The formation energy (no corrections) comes out at -238.1 meV per atom. The density is 5.4 Mg/m³. Its density of states at the Fermi level is 5.05 states/eV/f.u.


No. 2
Density functional theory data (PBE) for an optimized crystal structure of CeThSi2Ir5. Values from VASP.

Geometry as Quantum ESPRESSO input:
```
&SYSTEM
  ibrav = 0, nat = 9, ntyp = 4
/
ATOMIC_SPECIES
Ce 140.12 Ce.upf
Th 232.04 Th.upf
Ir 192.22 Ir.upf
Si 28.09 Si.upf
ATOMIC_POSITIONS crystal
Ce 0.000 0.000 0.500
Th 0.000 0.000 0.000
Ir 0.500 0.000 0.188
Ir 0.000 0.500 0.812
Ir 0.500 0.000 0.812
Ir 0.000 0.500 0.188
Ir 0.500 0.500 0.500
Si 0.500 0.500 0.705
Si 0.500 0.500 0.295
CELL_PARAMETERS angstrom
4.012 0.000 0.000
0.000 4.012 0.000
0.000 0.000 11.521
```

The formation energy (no corrections) comes out at -616.3 meV per atom. The density is 12.4 Mg/m³. Its density of states at the Fermi level is 8.68 states/eV/f.u.


No. 3
Density functional theory data (PBE) for an optimized crystal structure of TlGa2Fe2. Values from VASP.

Geometry as Quantum ESPRESSO input:
```
&SYSTEM
  ibrav = 0, nat = 10, ntyp = 3
/
ATOMIC_SPECIES
Tl 204.38 Tl.upf
Ga 69.72 Ga.upf
Fe 55.84 Fe.upf
ATOMIC_POSITIONS crystal
Tl 0.500 0.500 0.000
Tl 0.000 0.000 0.000
Ga 0.345 0.155 0.500
Ga 0.655 0.845 0.500
Ga 0.155 0.655 0.500
Ga 0.845 0.345 0.500
Fe 0.869 0.631 0.000
Fe 0.131 0.369 0.000
Fe 0.369 0.869 0.000
Fe 0.631 0.131 0.000
CELL_PARAMETERS angstrom
-6.467 -1.095 -2.244
1.334 -6.782 -0.536
-0.991 -0.438 3.069
```

Its relative energy among the computed polymorphs is 0.0000 eV/atom. The energy of formation from the pure elements comes out at 0.21 eV per atom. The density is 9.7 Mg/m³. Its density of states at the Fermi level is 3.65 states/eV/f.u.


No. 4
Density functional theory data (PBE) for an optimized crystal structure of Np2CrB2Ir5. Values from VASP.

Geometry as Quantum ESPRESSO input:
```
&SYSTEM
  ibrav = 0, nat = 20, ntyp = 4
/
ATOMIC_SPECIES
Ir 192.22 Ir.upf
Cr 52.00 Cr.upf
B 10.81 B.upf
Np 237.00 Np.upf
ATOMIC_POSITIONS crystal
Ir 0.500 0.215 0.071
Ir 0.500 0.785 0.929
Ir 0.500 0.071 0.785
Ir 0.500 0.429 0.285
Ir 0.500 0.715 0.429
Ir 0.500 0.285 0.571
Ir 0.500 0.000 0.500
Ir 0.500 0.571 0.715
Ir 0.500 0.500 0.000
Ir 0.500 0.929 0.215
Cr 0.000 0.000 0.000
Cr 0.000 0.500 0.500
B 0.000 0.880 0.380
B 0.000 0.620 0.880
B 0.000 0.380 0.120
B 0.000 0.120 0.620
Np 0.000 0.322 0.822
Np 0.000 0.178 0.322
Np 0.000 0.822 0.678
Np 0.000 0.678 0.178
CELL_PARAMETERS angstrom
3.466 0.000 0.000
0.000 9.236 0.000
0.000 0.000 9.236
```

The energy of formation from the pure elements comes out at -0.27 eV per atom. The density is 17.0 Mg/m³. Its density of states at the Fermi level is 18.48 states/eV/f.u.